w.
Computed, not measured: a relaxed structure of Nd2Ga3Pd5 at the PBE level of DFT.

Summary:
* V: 19.25 Å³/atom

a = 10.844 Å, b = 12.096 Å, c = 5.870 Å
α = 90.00°, β = 90.00°, γ = 90.00°
Space group Ibam (No. 72)
Inequivalent atoms, fractional coordinates:
Nd 0.224 0.139 0.000 [8 per cell]
Ga 0.000 0.500 0.250 [4 per cell]
Ga 0.102 0.143 0.500 [8 per cell]
Pd 0.000 0.000 0.250 [4 per cell]
Pd 0.000 0.286 0.250 [8 per cell]
Pd 0.175 0.407 0.000 [8 per cell]

=====

x.
Computed, not measured: a relaxed structure of Nd2Ga3Pd5 at the PBE level of DFT.

Summary:
* V: 18.58 Å³/atom

a = 4.267 Å, b = 25.377 Å, c = 6.865 Å
α = 90.00°, β = 90.00°, γ = 90.00°
Space group Cmc2_1 (No. 36)
Inequivalent atoms, fractional coordinates:
Nd 0.000 0.026 0.000 [4 per cell]
Nd 0.000 0.325 0.035 [4 per cell]
Ga 0.000 0.128 0.219 [4 per cell]
Ga 0.000 0.282 0.586 [4 per cell]
Ga 0.000 0.454 0.188 [4 per cell]
Pd 0.000 0.098 0.629 [4 per cell]
Pd 0.000 0.196 0.865 [4 per cell]
Pd 0.000 0.228 0.283 [4 per cell]
Pd 0.000 0.380 0.458 [4 per cell]
Pd 0.000 0.441 0.814 [4 per cell]

=====

Most favorable first, least favorable last: w, x

=====

w.
Computed, not measured: a relaxed structure of NdGa4Pd2 at the PBE level of DFT.

Summary:
* V: 18.74 Å³/atom

a = 7.852 Å, b = 7.852 Å, c = 4.255 Å
α = 90.00°, β = 90.00°, γ = 90.00°
Space group P4_2/mnm (No. 136)
Inequivalent atoms, fractional coordinates:
Nd 0.000 0.000 0.000 [2 per cell]
Ga 0.085 0.333 0.500 [8 per cell]
Pd 0.217 0.783 0.500 [4 per cell]

=====

x.
Computed, not measured: a relaxed structure of NdGa4Pd2 at the PBE level of DFT.

Summary:
* V: 18.25 Å³/atom

a = 17.612 Å, b = 4.400 Å, c = 6.595 Å
α = 90.00°, β = 90.00°, γ = 90.00°
Space group Pnma (No. 62)
Inequivalent atoms, fractional coordinates:
Nd 0.139 0.250 0.008 [4 per cell]
Ga 0.037 0.750 0.831 [4 per cell]
Ga 0.074 0.250 0.487 [4 per cell]
Ga 0.183 0.750 0.318 [4 per cell]
Ga 0.190 0.750 0.720 [4 per cell]
Pd 0.035 0.750 0.252 [4 per cell]
Pd 0.218 0.250 0.524 [4 per cell]

=====

Most favorable first, least favorable last: x, w

=====

w.
Computed, not measured: a relaxed structure of Nd2GaPd4 at the PBE level of DFT.

Summary:
* V: 22.94 Å³/atom

a = 5.914 Å, b = 7.525 Å, c = 7.391 Å
α = 90.00°, β = 102.49°, γ = 90.00°
Space group C2/m (No. 12)
Inequivalent atoms, fractional coordinates:
Nd 0.084 0.000 0.272 [4 per cell]
Ga 0.000 0.500 0.000 [2 per cell]
Pd 0.110 0.500 0.349 [4 per cell]
Pd 0.250 0.250 0.000 [4 per cell]

=====

x.
Computed, not measured: a relaxed structure of Nd2GaPd4 at the PBE level of DFT.

Summary:
* V: 22.60 Å³/atom

a = 6.210 Å, b = 6.210 Å, c = 8.205 Å
α = 90.00°, β = 90.00°, γ = 90.00°
Space group I4/mmm (No. 139)
Inequivalent atoms, fractional coordinates:
Nd 0.000 0.500 0.250 [4 per cell]
Ga 0.000 0.000 0.000 [2 per cell]
Pd 0.219 0.219 0.500 [8 per cell]

=====

Most favorable first, least favorable last: x, w

=====

w.
Computed, not measured: a relaxed structure of NdGaPd3 at the PBE level of DFT.

Summary:
* V: 19.99 Å³/atom

a = 6.2707 Å, b = 6.2707 Å, c = 11.7413 Å
α = 90.00°, β = 90.00°, γ = 120.00°
Space group P6_3/mmc (No. 194)
Inequivalent atoms, fractional coordinates:
Nd 0.0000 0.0000 0.0000 [2 per cell]
Nd 0.3333 0.6667 0.2500 [2 per cell]
Ga 0.3333 0.6667 0.6398 [4 per cell]
Pd 0.0000 0.5000 0.0000 [6 per cell]
Pd 0.1399 0.2799 0.7500 [6 per cell]

=====

x.
Computed, not measured: a relaxed structure of NdGaPd3 at the PBE level of DFT.

Summary:
* V: 25.97 Å³/atom

a = 7.100 Å, b = 13.918 Å, c = 5.257 Å
α = 90.00°, β = 90.00°, γ = 90.00°
Space group Cmcm (No. 63)
Inequivalent atoms, fractional coordinates:
Nd 0.000 0.114 0.250 [4 per cell]
Ga 0.000 0.343 0.250 [4 per cell]
Pd 0.000 0.500 0.000 [4 per cell]
Pd 0.188 0.072 0.750 [8 per cell]

=====

Most favorable first, least favorable last: w, x